A relaxed structure of AlRhBr2, computed with PBE.

abc: 3.4829 3.4829 25.8522
angles: 90.00 90.00 120.00
Space group R-3m (No. 166, hexagonal axes)
Asymmetric unit:
Al 0.0000 0.0000 0.0000 (multiplicity 3)
Rh 0.0000 0.0000 0.5000 (multiplicity 3)
Br 0.0000 0.0000 0.4060 (multiplicity 6)

Calculated values
The calculation puts the spin magnetization at 1.84 Bohr magnetons per cell. As for the uncorrected formation energy: 291 meV/atom. For the density of states at the Fermi level, the calculation gives 3.0 states/eV/f.u. For the total energy, the calculation gives -13.28 eV per formula unit.